(1)
Entry from Alexandria: a geometry-optimized BaNbAg structure (GGA-PBE).

Output
The calculation puts the excess energy over the best structure of this formula in the dataset at 3.90 eV/f.u. As for the calculated volume: 36.8 Å³/atom. The total energy is -3.40 eV/atom. Its size of the total moment is 17.1 μB/cell.

a b c (Å): 7.614 7.614 7.614
angles (deg): 90.00 90.00 90.00
Element x y z (fractional)
Ba1 0.000 0.000 0.000
Ba2 0.000 0.500 0.500
Ba3 0.500 0.000 0.500
Ba4 0.500 0.500 0.000
Nb1 0.250 0.250 0.750
Nb2 0.250 0.750 0.250
Nb3 0.750 0.250 0.250
Nb4 0.750 0.750 0.750
Ag1 0.250 0.250 0.250
Ag2 0.250 0.750 0.750
Ag3 0.750 0.250 0.750
Ag4 0.750 0.750 0.250

(2)
Entry from Alexandria: a geometry-optimized BaNbAg structure (GGA-PBE).

Output
The calculation puts the excess energy over the best structure of this formula in the dataset at 0.66 eV/f.u. As for the calculated volume: 29.3 Å³/atom. The total energy is -4.48 eV/atom. Its size of the total moment is 0.0 μB/cell.

a b c (Å): 10.577 3.419 9.733
angles (deg): 90.00 90.00 90.00
Element x y z (fractional)
Ba1 0.183 0.250 0.091
Ba2 0.317 0.750 0.591
Ba3 0.683 0.250 0.409
Ba4 0.817 0.750 0.909
Nb1 0.051 0.250 0.418
Nb2 0.449 0.750 0.918
Nb3 0.551 0.250 0.082
Nb4 0.949 0.750 0.582
Ag1 0.088 0.250 0.763
Ag2 0.412 0.750 0.263
Ag3 0.588 0.250 0.737
Ag4 0.912 0.750 0.237

(3)
Entry from Alexandria: a geometry-optimized BaNbAg structure (GGA-PBE).

Output
The calculation puts the excess energy over the best structure of this formula in the dataset at 0.58 eV/f.u. As for the calculated volume: 29.1 Å³/atom. The total energy is -4.51 eV/atom. Its size of the total moment is 0.0 μB/cell.

a b c (Å): 4.679 5.991 6.621
angles (deg): 88.07 70.43 87.11
Element x y z (fractional)
Ba1 0.000 0.000 0.000
Ba2 0.422 0.486 0.133
Nb1 0.118 0.526 0.663
Nb2 0.728 0.735 0.596
Ag1 0.273 0.989 0.456
Ag2 0.690 0.242 0.577

(4)
Entry from Alexandria: a geometry-optimized BaNbAg structure (GGA-PBE).

Output
The calculation puts the excess energy over the best structure of this formula in the dataset at 0.63 eV/f.u. As for the calculated volume: 28.5 Å³/atom. The total energy is -4.49 eV/atom. Its size of the total moment is 0.0 μB/cell.

a b c (Å): 5.188 5.244 6.462
angles (deg): 90.00 103.50 90.00
Element x y z (fractional)
Ba1 0.000 0.000 0.000
Ba2 0.476 0.500 0.129
Nb1 0.363 0.000 0.576
Nb2 0.786 0.000 0.482
Ag1 0.086 0.500 0.483
Ag2 0.645 0.500 0.662

(5)
Entry from Alexandria: a geometry-optimized BaNbAg structure (GGA-PBE).

Output
The calculation puts the excess energy over the best structure of this formula in the dataset at 0.57 eV/f.u. As for the calculated volume: 28.8 Å³/atom. The total energy is -4.51 eV/atom. Its size of the total moment is 0.0 μB/cell.

a b c (Å): 13.559 3.613 8.909
angles (deg): 90.00 127.66 90.00
Element x y z (fractional)
Ba1 0.000 0.000 0.000
Ba2 0.144 0.000 0.560
Ba3 0.500 0.500 0.000
Ba4 0.644 0.500 0.560
Nb1 0.282 0.500 0.349
Nb2 0.429 0.000 0.591
Nb3 0.782 0.000 0.349
Nb4 0.929 0.500 0.591
Ag1 0.190 0.500 0.935
Ag2 0.379 0.000 0.211
Ag3 0.690 0.000 0.935
Ag4 0.879 0.500 0.211

(6)
Entry from Alexandria: a geometry-optimized BaNbAg structure (GGA-PBE).

Output
The calculation puts the excess energy over the best structure of this formula in the dataset at 0.00 eV/f.u. As for the calculated volume: 27.2 Å³/atom. The total energy is -4.70 eV/atom. Its size of the total moment is 0.0 μB/cell.

a b c (Å): 3.599 3.599 12.619
angles (deg): 90.00 90.01 90.00
Element x y z (fractional)
Ba1 0.000 0.000 0.000
Ba2 0.000 0.000 0.377
Nb1 0.002 0.000 0.674
Nb2 0.502 0.500 0.582
Ag1 0.500 0.500 0.187
Ag2 0.502 0.500 0.811

(7)
Entry from Alexandria: a geometry-optimized BaNbAg2 structure (GGA-PBE).

Output
The calculation puts the excess energy over the best structure of this formula in the dataset at 0.00 eV/f.u. As for the calculated volume: 26.5 Å³/atom. The total energy is -3.81 eV/atom. Its size of the total moment is 14.2 μB/cell.

a b c (Å): 7.511 7.511 7.511
angles (deg): 90.00 90.00 90.00
Element x y z (fractional)
Ba1 0.000 0.000 0.000
Ba2 0.000 0.500 0.500
Ba3 0.500 0.000 0.500
Ba4 0.500 0.500 0.000
Nb1 0.000 0.000 0.500
Nb2 0.000 0.500 0.000
Nb3 0.500 0.000 0.000
Nb4 0.500 0.500 0.500
Ag1 0.250 0.250 0.250
Ag2 0.250 0.250 0.750
Ag3 0.250 0.750 0.250
Ag4 0.250 0.750 0.750
Ag5 0.750 0.250 0.250
Ag6 0.750 0.250 0.750
Ag7 0.750 0.750 0.250
Ag8 0.750 0.750 0.750

(8)
Entry from Alexandria: a geometry-optimized BaNbAg structure (GGA-PBE).

Output
The calculation puts the excess energy over the best structure of this formula in the dataset at 0.66 eV/f.u. As for the calculated volume: 29.2 Å³/atom. The total energy is -4.48 eV/atom. Its size of the total moment is 0.0 μB/cell.

a b c (Å): 5.172 8.056 8.414
angles (deg): 90.00 90.00 90.00
Element x y z (fractional)
Ba1 0.000 0.000 0.000
Ba2 0.000 0.500 0.153
Ba3 0.500 0.000 0.653
Ba4 0.500 0.500 0.500
Nb1 0.000 0.360 0.736
Nb2 0.000 0.640 0.736
Nb3 0.500 0.140 0.236
Nb4 0.500 0.860 0.236
Ag1 0.000 0.178 0.414
Ag2 0.000 0.822 0.414
Ag3 0.500 0.322 0.914
Ag4 0.500 0.678 0.914

(9)
Entry from Alexandria: a geometry-optimized BaNbAg structure (GGA-PBE).

Output
The calculation puts the excess energy over the best structure of this formula in the dataset at 5.64 eV/f.u. As for the calculated volume: 58.8 Å³/atom. The total energy is -2.82 eV/atom. Its size of the total moment is 9.7 μB/cell.

a b c (Å): 5.555 5.555 13.213
angles (deg): 90.00 90.00 120.00
Element x y z (fractional)
Ba1 0.000 0.000 0.250
Ba2 0.000 0.000 0.750
Nb1 0.000 0.000 0.000
Nb2 0.000 0.000 0.500
Ag1 0.333 0.667 0.250
Ag2 0.667 0.333 0.750

(10)
Entry from Alexandria: a geometry-optimized BaNb3Ag structure (GGA-PBE).

Output
The calculation puts the excess energy over the best structure of this formula in the dataset at 4.19 eV/f.u. As for the calculated volume: 25.7 Å³/atom. The total energy is -4.52 eV/atom. Its size of the total moment is 0.0 μB/cell.

a b c (Å): 5.048 5.048 5.048
angles (deg): 90.00 90.00 90.00
Element x y z (fractional)
Ba1 0.000 0.000 0.000
Nb1 0.000 0.000 0.500
Nb2 0.000 0.500 0.000
Nb3 0.500 0.000 0.000
Ag1 0.500 0.500 0.500

(11)
Entry from Alexandria: a geometry-optimized BaNbAgO2 structure (GGA-PBE).

Output
As for the calculated volume: 20.8 Å³/atom. The total energy is -3.92 eV/atom. The calculation puts the energy relative to the elements, uncorrected at 1.03 eV per atom. Its size of the total moment is 0.0 μB/cell.

a b c (Å): 4.389 4.389 5.401
angles (deg): 90.00 90.00 90.00
Element x y z (fractional)
Ba1 0.000 0.000 0.000
Nb1 0.500 0.500 0.000
Ag1 0.000 0.000 0.500
O1 0.000 0.500 0.500
O2 0.500 0.000 0.500

(12)
Entry from Alexandria: a geometry-optimized BaNbReAg2 structure (GGA-PBE).

Output
As for the calculated volume: 29.3 Å³/atom. The total energy is -3.33 eV/atom. Its size of the total moment is 1.3 μB/cell.

a b c (Å): 5.332 5.332 5.148
angles (deg): 90.00 90.00 90.00
Element x y z (fractional)
Ba1 0.000 0.000 0.000
Nb1 0.500 0.500 0.500
Re1 0.000 0.000 0.500
Ag1 0.000 0.500 0.000
Ag2 0.500 0.000 0.000